## CrAsRhO6 (PBE+U)

Data for crystalline CrAsRhO6 at its relaxed geometry.

Calculated values
- Electronic total energy: -6.626 eV/atom
- Total moment: 2.09 μB per formula unit
- Space group: No. 163

Unit cell a=4.9777 b=4.9777 c=8.4952 alpha=90.00 beta=90.00 gamma=120.00
Positions (direct):
As  0.3333  0.6667  0.7500
O  0.0163  0.3553  0.6294
O  0.0163  0.6610  0.8706
O  0.3553  0.3390  0.3706
Cr  0.3333  0.6667  0.2500
O  0.3390  0.9837  0.6294
Cr  0.6667  0.3333  0.7500
O  0.6447  0.6610  0.6294
O  0.9837  0.3390  0.1294
O  0.6610  0.6447  0.1294
Rh  0.0000  0.0000  0.5000
Rh  0.0000  0.0000  0.0000
O  0.6610  0.0163  0.3706
O  0.6447  0.9837  0.8706
As  0.6667  0.3333  0.2500
O  0.9837  0.6447  0.3706
O  0.3553  0.0163  0.1294
O  0.3390  0.3553  0.8706